# 1
Computed, not measured: a relaxed Th2NiPt crystal at the GGA-PBE level of DFT.

Values from the calculation:
Its magnetization is 0.0 μB/f.u. The calculation puts the formation energy from the elements at -7 kJ/mol of formula units.

a = 4.002 Å, b = 4.002 Å, c = 8.838 Å
α = 76.91°, β = 76.91°, γ = 60.00°
Sites, in units of the cell vectors:
Pt  0.500  0.500  0.500
Th  0.098  0.098  0.705
Ni  0.000  0.000  0.000
Th  0.902  0.902  0.295

***

# 2
Computed, not measured: a relaxed Pr4PtSCl2 crystal at the GGA-PBE level of DFT.

Values from the calculation:
Its magnetization is 0.0 μB/f.u. Its uncorrected formation energy is -12.11 eV/f.u.

a = 4.102 Å, b = 7.421 Å, c = 7.370 Å
α = 71.37°, β = 90.00°, γ = 90.00°
Sites, in units of the cell vectors:
Pt  0.500  0.500  0.000
Pr  0.500  0.276  0.733
Pr  0.500  0.724  0.267
Pr  0.000  0.724  0.765
S  0.000  0.500  0.500
Cl  0.000  0.000  0.000
Cl  0.500  0.000  0.500
Pr  0.000  0.276  0.235

***

# 3
Computed, not measured: a relaxed Hg2H2Pt crystal at the GGA-PBE level of DFT.

Values from the calculation:
Its magnetization is 0.0 μB/f.u. Its relative energy among the computed polymorphs is 0.00 eV per formula unit.

a = 3.355 Å, b = 3.355 Å, c = 14.382 Å
α = 96.70°, β = 96.70°, γ = 90.00°
Sites, in units of the cell vectors:
H  0.267  0.267  0.534
H  0.983  0.483  0.966
Pt  0.500  0.500  0.000
Hg  0.418  0.918  0.835
Hg  0.082  0.582  0.165
H  0.733  0.733  0.466
Pt  0.750  0.250  0.500
Hg  0.168  0.168  0.335
Hg  0.832  0.832  0.665
H  0.517  0.017  0.034

***

# 4
Computed, not measured: a relaxed ScCr2Hg crystal at the GGA-PBE level of DFT.

Values from the calculation:
Its magnetization is 2.5 μB/f.u. The calculation puts the formation energy from the elements at 201 kJ/mol of formula units.

a = 5.118 Å, b = 5.118 Å, c = 5.118 Å
α = 134.86°, β = 134.86°, γ = 65.74°
Last column: magnetic moment on the atom in μB.
Sites, in units of the cell vectors:
Cr  0.500  0.500  0.000  1.25
Sc  0.750  0.250  0.500  -0.05
Cr  0.000  0.000  0.000  1.25
Hg  0.250  0.750  0.500  -0.04

***

# 5
Computed, not measured: a relaxed InMoW2 crystal at the GGA-PBE level of DFT.

Values from the calculation:
Its magnetization is 0.0 μB/f.u. The calculation puts the formation energy from the elements at 110 kJ/mol of formula units.

a = 2.832 Å, b = 2.832 Å, c = 9.182 Å
α = 90.00°, β = 90.00°, γ = 110.31°
Sites, in units of the cell vectors:
W  0.500  0.500  0.235
Mo  0.500  0.500  0.764
In  0.000  0.000  0.502
W  0.000  0.000  0.999

***

# 6
Computed, not measured: a relaxed CsK2Ga crystal at the GGA-PBE level of DFT.

Values from the calculation:
Its magnetization is 0.0 μB/f.u. The calculation puts the formation energy from the elements at 148 kJ/mol of formula units.

a = 4.418 Å, b = 4.418 Å, c = 15.653 Å
α = 81.89°, β = 81.89°, γ = 60.00°
Sites, in units of the cell vectors:
K  0.073  0.073  0.780
Ga  0.000  0.000  0.000
K  0.927  0.927  0.220
Cs  0.500  0.500  0.500